Computed, not measured: a geometry-optimized YAlW2 structure at the PBE-GGA level of DFT.

ΔH_f (0 K) = 416 meV/atom
Symmetry = No. 12

Cell lengths 5.604, 5.604, 2.819 Å; angles 79.83, 79.83, 118.46 degrees
Fractional coordinates of all 4 atoms:
W1 0.500 0.500 0.000
W2 0.000 0.000 0.000
Y1 0.500 0.000 0.500
Al1 0.000 0.500 0.500

Computed, not measured: a geometry-optimized YAlW2 structure at the PBE-GGA level of DFT.

ΔH_f (0 K) = 311 meV/atom
Symmetry = No. 44

Cell lengths 5.512, 5.512, 5.512 Å; angles 143.65, 128.10, 65.01 degrees
Fractional coordinates of all 4 atoms:
Y1 0.488 0.488 0.000
Al1 0.767 0.267 0.500
W1 0.223 0.723 0.500
W2 0.022 0.022 0.000

Computed, not measured: a geometry-optimized YAlW2 structure at the PBE-GGA level of DFT.

ΔH_f (0 K) = 214 meV/atom
Symmetry = No. 216

Cell lengths 4.694, 4.694, 4.694 Å; angles 60.00, 60.00, 60.00 degrees
Fractional coordinates of all 4 atoms:
Y1 0.750 0.750 0.750
W1 0.250 0.250 0.250
W2 0.000 0.000 0.000
Al1 0.500 0.500 0.500

Computed, not measured: a geometry-optimized YAlW4 structure at the PBE-GGA level of DFT.

ΔH_f (0 K) = 272 meV/atom
Symmetry = No. 216

Cell lengths 5.413, 5.413, 5.413 Å; angles 60.00, 60.00, 60.00 degrees
Fractional coordinates of all 6 atoms:
W1 0.374 0.374 0.877
W2 0.374 0.877 0.374
W3 0.374 0.374 0.374
W4 0.877 0.374 0.374
Al1 0.000 0.000 0.000
Y1 0.750 0.750 0.750

Computed, not measured: a geometry-optimized YAl3W structure at the PBE-GGA level of DFT.

ΔH_f (0 K) = 161 meV/atom
Symmetry = No. 221

Cell lengths 4.843, 4.843, 4.843 Å; angles 90.00, 90.00, 90.00 degrees
Fractional coordinates of all 5 atoms:
Al1 0.000 0.000 0.500
Al2 0.500 0.000 0.000
Al3 0.000 0.500 0.000
W1 0.000 0.000 0.000
Y1 0.500 0.500 0.500

Computed, not measured: a geometry-optimized YAl2W structure at the PBE-GGA level of DFT.

ΔH_f (0 K) = -29 meV/atom
Symmetry = No. 123

Cell lengths 3.420, 3.420, 6.483 Å; angles 90.00, 90.00, 90.01 degrees
Fractional coordinates of all 4 atoms:
W1 0.500 0.500 0.250
Y1 0.500 0.500 0.750
Al1 0.000 0.000 0.053
Al2 0.000 0.000 0.447

Computed, not measured: a geometry-optimized YAl2W structure at the PBE-GGA level of DFT.

ΔH_f (0 K) = 82 meV/atom
Symmetry = No. 225

Cell lengths 4.702, 4.702, 4.702 Å; angles 60.00, 60.00, 60.00 degrees
Fractional coordinates of all 4 atoms:
W1 0.500 0.500 0.500
Al1 0.250 0.250 0.250
Al2 0.750 0.750 0.750
Y1 0.000 0.000 0.000

Computed, not measured: a geometry-optimized YAlW3 structure at the PBE-GGA level of DFT.

ΔH_f (0 K) = 1404 meV/atom
Symmetry = No. 221

Cell lengths 4.677, 4.677, 4.677 Å; angles 90.00, 90.00, 90.00 degrees
Fractional coordinates of all 5 atoms:
W1 0.000 0.500 0.000
W2 0.500 0.000 0.000
W3 0.000 0.000 0.500
Y1 0.500 0.500 0.500
Al1 0.000 0.000 0.000

Computed, not measured: a geometry-optimized YAlW2 structure at the PBE-GGA level of DFT.

ΔH_f (0 K) = 405 meV/atom
Symmetry = No. 10

Cell lengths 4.882, 2.910, 5.286 Å; angles 83.08, 90.00, 90.00 degrees
Fractional coordinates of all 4 atoms:
Y1 0.500 0.250 0.250
Al1 0.500 0.750 0.750
W1 0.000 0.566 0.493
W2 0.000 0.934 0.007

Computed, not measured: a geometry-optimized Y2AlW structure at the PBE-GGA level of DFT.

ΔH_f (0 K) = 684 meV/atom
Symmetry = No. 122

Cell lengths 8.005, 8.005, 6.379 Å; angles 51.14, 51.14, 90.00 degrees
Fractional coordinates of all 8 atoms:
Al1 0.250 0.750 0.500
Al2 0.500 0.500 0.000
W1 0.750 0.250 0.500
W2 0.000 0.000 0.000
Y1 0.375 0.368 0.750
Y2 0.875 0.882 0.750
Y3 0.632 0.125 0.250
Y4 0.118 0.625 0.250

Computed, not measured: a geometry-optimized Y2AlW structure at the PBE-GGA level of DFT.

ΔH_f (0 K) = 426 meV/atom
Symmetry = No. 12

Cell lengths 5.206, 5.206, 5.931 Å; angles 82.66, 82.66, 34.52 degrees
Fractional coordinates of all 4 atoms:
W1 0.750 0.750 0.750
Al1 0.250 0.250 0.250
Y1 0.500 0.500 0.504
Y2 0.000 0.000 0.996

Computed, not measured: a geometry-optimized YAl2W structure at the PBE-GGA level of DFT.

ΔH_f (0 K) = 555 meV/atom
Symmetry = No. 122

Cell lengths 4.336, 4.336, 9.954 Å; angles 77.42, 77.42, 90.00 degrees
Fractional coordinates of all 8 atoms:
Y1 0.500 0.500 0.000
Y2 0.250 0.750 0.500
Al1 0.719 0.125 0.250
Al2 0.375 0.281 0.750
Al3 0.031 0.625 0.250
Al4 0.875 0.969 0.750
W1 0.000 0.000 0.000
W2 0.750 0.250 0.500

Computed, not measured: a geometry-optimized YAlW2 structure at the PBE-GGA level of DFT.

ΔH_f (0 K) = 260 meV/atom
Symmetry = No. 123

Cell lengths 3.459, 3.460, 6.459 Å; angles 90.00, 90.00, 90.00 degrees
Fractional coordinates of all 4 atoms:
W1 0.000 0.000 0.936
W2 0.000 0.000 0.564
Y1 0.500 0.500 0.250
Al1 0.500 0.500 0.750

Computed, not measured: a geometry-optimized YAl2W structure at the PBE-GGA level of DFT.

ΔH_f (0 K) = 115 meV/atom
Symmetry = No. 123

Cell lengths 4.253, 4.248, 4.159 Å; angles 90.00, 90.00, 90.00 degrees
Fractional coordinates of all 4 atoms:
Al1 0.000 0.000 0.000
Al2 0.500 0.500 0.000
Y1 0.000 0.500 0.500
W1 0.500 0.000 0.500

Computed, not measured: a geometry-optimized YAlW2 structure at the PBE-GGA level of DFT.

ΔH_f (0 K) = 382 meV/atom
Symmetry = No. 12

Cell lengths 5.241, 5.241, 5.277 Å; angles 77.54, 77.54, 31.53 degrees
Fractional coordinates of all 4 atoms:
W1 0.519 0.519 0.472
W2 0.981 0.981 0.028
Al1 0.250 0.250 0.250
Y1 0.750 0.750 0.750

Computed, not measured: a geometry-optimized YAlW2 structure at the PBE-GGA level of DFT.

ΔH_f (0 K) = 319 meV/atom
Symmetry = No. 8

Cell lengths 4.553, 4.553, 6.025 Å; angles 82.07, 82.07, 40.79 degrees
Fractional coordinates of all 4 atoms:
Y1 0.506 0.506 0.498
W1 0.734 0.734 0.822
W2 0.999 0.999 0.989
Al1 0.260 0.260 0.191

Computed, not measured: a geometry-optimized Y2AlW structure at the PBE-GGA level of DFT.

ΔH_f (0 K) = 405 meV/atom
Symmetry = No. 166

Cell lengths 10.214, 10.214, 10.214 Å; angles 18.37, 18.37, 18.37 degrees
Fractional coordinates of all 4 atoms:
Y1 0.003 0.003 0.003
Y2 0.497 0.497 0.497
W1 0.750 0.750 0.750
Al1 0.250 0.250 0.250

Computed, not measured: a geometry-optimized YAl2W structure at the PBE-GGA level of DFT.

ΔH_f (0 K) = 156 meV/atom
Symmetry = No. 119

Cell lengths 5.432, 5.432, 5.432 Å; angles 136.06, 136.06, 63.89 degrees
Fractional coordinates of all 4 atoms:
W1 0.500 0.500 0.000
Y1 0.750 0.250 0.500
Al1 0.250 0.750 0.500
Al2 0.000 0.000 0.000

Computed, not measured: a geometry-optimized YAlW2 structure at the PBE-GGA level of DFT.

ΔH_f (0 K) = 507 meV/atom
Symmetry = No. 65

Cell lengths 5.456, 5.456, 2.781 Å; angles 90.00, 90.00, 117.07 degrees
Fractional coordinates of all 4 atoms:
Y1 0.500 0.000 0.500
Al1 0.000 0.500 0.500
W1 0.000 0.000 0.000
W2 0.500 0.500 0.000

Computed, not measured: a geometry-optimized YAlW2 structure at the PBE-GGA level of DFT.

ΔH_f (0 K) = 721 meV/atom
Symmetry = No. 122

Cell lengths 4.039, 4.039, 10.331 Å; angles 78.73, 78.73, 90.00 degrees
Fractional coordinates of all 8 atoms:
Y1 0.000 0.000 0.000
Y2 0.750 0.250 0.500
Al1 0.500 0.500 0.000
Al2 0.250 0.750 0.500
W1 0.579 0.625 0.250
W2 0.171 0.125 0.250
W3 0.375 0.829 0.750
W4 0.875 0.421 0.750

Computed, not measured: a geometry-optimized YAl2W structure at the PBE-GGA level of DFT.

ΔH_f (0 K) = 139 meV/atom
Symmetry = No. 8

Cell lengths 5.400, 5.400, 5.151 Å; angles 76.11, 76.11, 30.46 degrees
Fractional coordinates of all 4 atoms:
W1 0.521 0.521 0.443
Al1 0.264 0.264 0.283
Al2 0.977 0.977 0.988
Y1 0.738 0.738 0.786

Computed, not measured: a geometry-optimized Y2AlW structure at the PBE-GGA level of DFT.

ΔH_f (0 K) = 226 meV/atom
Symmetry = No. 123

Cell lengths 4.630, 4.630, 4.158 Å; angles 90.00, 90.00, 90.00 degrees
Fractional coordinates of all 4 atoms:
Al1 0.500 0.000 0.500
Y1 0.000 0.000 0.000
Y2 0.500 0.500 0.000
W1 0.000 0.500 0.500

Computed, not measured: a geometry-optimized YAlW2 structure at the PBE-GGA level of DFT.

ΔH_f (0 K) = 239 meV/atom
Symmetry = No. 35

Cell lengths 2.900, 2.900, 9.416 Å; angles 90.00, 90.00, 110.09 degrees
Fractional coordinates of all 4 atoms:
W1 0.500 0.500 0.224
W2 0.000 0.000 0.003
Y1 0.000 0.000 0.495
Al1 0.500 0.500 0.778

Computed, not measured: a geometry-optimized Y2AlW structure at the PBE-GGA level of DFT.

ΔH_f (0 K) = 164 meV/atom
Symmetry = No. 8

Cell lengths 5.837, 5.837, 5.408 Å; angles 74.59, 74.59, 30.81 degrees
Fractional coordinates of all 4 atoms:
Y1 0.025 0.025 0.951
Y2 0.227 0.227 0.302
Al1 0.467 0.467 0.482
W1 0.781 0.781 0.764

Computed, not measured: a geometry-optimized YAl4W structure at the PBE-GGA level of DFT.

ΔH_f (0 K) = -131 meV/atom
Symmetry = No. 216

Cell lengths 5.267, 5.267, 5.267 Å; angles 60.00, 60.00, 60.00 degrees
Fractional coordinates of all 6 atoms:
Al1 0.375 0.375 0.874
Al2 0.375 0.375 0.375
Al3 0.375 0.874 0.375
Al4 0.874 0.375 0.375
W1 0.750 0.750 0.750
Y1 0.000 0.000 0.000

Computed, not measured: a geometry-optimized Y2AlW structure at the PBE-GGA level of DFT.

ΔH_f (0 K) = 144 meV/atom
Symmetry = No. 38

Cell lengths 4.393, 3.929, 5.932 Å; angles 70.66, 90.00, 90.00 degrees
Fractional coordinates of all 4 atoms:
Y1 0.000 0.977 0.920
Y2 0.500 0.273 0.329
W1 0.500 0.561 0.752
Al1 0.000 0.688 0.499

Computed, not measured: a geometry-optimized YAl2W structure at the PBE-GGA level of DFT.

ΔH_f (0 K) = -17 meV/atom
Symmetry = No. 139

Cell lengths 5.013, 5.013, 5.013 Å; angles 129.21, 129.15, 74.73 degrees
Fractional coordinates of all 4 atoms:
W1 0.250 0.750 0.500
Y1 0.750 0.250 0.500
Al1 0.500 0.500 0.000
Al2 0.000 0.000 0.000

Computed, not measured: a geometry-optimized YAl2W structure at the PBE-GGA level of DFT.

ΔH_f (0 K) = 89 meV/atom
Symmetry = No. 25

Cell lengths 3.041, 3.646, 7.032 Å; angles 90.00, 90.00, 90.00 degrees
Fractional coordinates of all 4 atoms:
Al1 0.000 0.000 0.054
Al2 0.500 0.500 0.265
W1 0.000 0.000 0.446
Y1 0.500 0.500 0.734

Computed, not measured: a geometry-optimized YAl2W structure at the PBE-GGA level of DFT.

ΔH_f (0 K) = 91 meV/atom
Symmetry = No. 65

Cell lengths 5.146, 5.146, 2.940 Å; angles 90.01, 90.01, 108.96 degrees
Fractional coordinates of all 4 atoms:
Y1 0.000 0.500 0.500
W1 0.500 0.000 0.500
Al1 0.000 0.000 0.000
Al2 0.500 0.500 0.000

Computed, not measured: a geometry-optimized YAlW2 structure at the PBE-GGA level of DFT.

ΔH_f (0 K) = 351 meV/atom
Symmetry = No. 99

Cell lengths 2.826, 2.826, 9.216 Å; angles 90.00, 90.00, 90.00 degrees
Fractional coordinates of all 4 atoms:
W1 0.000 0.000 0.990
W2 0.500 0.500 0.234
Y1 0.000 0.000 0.500
Al1 0.500 0.500 0.776